A plane-wave DFT calculation with PBE was carried out for crystalline CSe at its relaxed geometry.

- offset from the most stable computed form (eV/atom) = 1.1526
- energy relative to the elements, uncorrected (eV/atom) = 1.657

Lattice parameters (Å, degrees): 7.555 7.555 2.960 90.00 90.00 90.00
Fractional positions:
C 0.297 0.703 0.000
C 0.797 0.797 0.500
C 0.203 0.203 0.500
C 0.703 0.297 0.000
Se 0.312 0.312 0.000
Se 0.812 0.188 0.500
Se 0.188 0.812 0.500
Se 0.688 0.688 0.000